No. 1
A plane-wave DFT calculation with PBE was carried out for a relaxed structure of TlZnF3.

## Properties
The uncorrected formation energy comes out at -2.080 eV/atom. Its density is 6.59 g cm⁻³.

Unit cell a=10.9607 b=10.9607 c=10.9607 alpha=90.00 beta=90.00 gamma=90.00
Closest atoms and distances in Å follow each position.
Space group Fd-3m (No. 227, origin choice 2)
One atom of each set of equivalent atoms:
Tl 0.0000 0.0000 0.0000 x16  6 F 2.77
Zn 0.0000 0.0000 0.5000 x16  6 F 2.08
F 0.0699 0.3750 0.8750 x48  2 Zn 2.08



No. 2
A plane-wave DFT calculation with PBE was carried out for a relaxed structure of ScCr2Br.

## Properties
The uncorrected formation energy comes out at 0.597 eV/atom. The value obtained for the polymorph energy (0 for the lowest one) is 58.6 kJ/mol of atoms. Its density is 4.56 g cm⁻³.

Unit cell a=5.6359 b=9.1018 c=3.2473 alpha=90.00 beta=90.00 gamma=90.00
Closest atoms and distances in Å follow each position.
Space group Cmmm (No. 65)
One atom of each set of equivalent atoms:
Sc 0.0000 0.0000 0.0000 x2  2 Br 2.82, 8 Cr 3.13
Cr 0.2500 0.2500 0.5000 x4  2 Cr 2.82, 4 Br 3.13, 4 Sc 3.13
Br 0.0000 0.5000 0.0000 x2  2 Sc 2.82, 8 Cr 3.13



No. 3
A plane-wave DFT calculation with PBE was carried out for a relaxed structure of Co2BiPd2.

## Properties
The value obtained for the polymorph energy (0 for the lowest one) is 1.6 kJ/mol of atoms. Its density is 11.06 g cm⁻³. The formation energy is 201 meV/atom.

Unit cell a=6.6712 b=6.6712 c=3.6419 alpha=90.00 beta=90.00 gamma=90.00
Closest atoms and distances in Å follow each position.
Space group P4/mbm (No. 127)
One atom of each set of equivalent atoms:
Co 0.1209 0.3791 0.0000 x4  1 Co 2.28
Bi 0.0000 0.0000 0.0000 x2  4 Co 2.65
Pd 0.1627 0.6627 0.5000 x4  6 Co 2.64-2.74



No. 4
A plane-wave DFT calculation with PBE was carried out for a relaxed structure of Rb3HoPa3Te8.

## Properties
The uncorrected formation energy comes out at -1.021 eV/atom. Its density is 5.93 g cm⁻³.

Unit cell a=8.8110 b=8.8110 c=26.6716 alpha=90.00 beta=90.00 gamma=120.00
Closest atoms and distances in Å follow each position.
Space group R-3m (No. 166, hexagonal axes)
One atom of each set of equivalent atoms:
Rb 0.0000 0.5000 0.0000 x9  6 Te 3.65-3.68
Ho 0.0000 0.0000 0.5000 x3  6 Te 3.11
Pa 0.0000 0.5000 0.5000 x9  6 Te 3.11-3.13
Te 0.0000 0.0000 0.2353 x6  3 Pa 3.13
Te 0.0004 0.5002 0.2337 x18  1 Ho 3.11, 2 Pa 3.11



No. 5
A plane-wave DFT calculation with PBE was carried out for a relaxed structure of InPt5.

## Properties
Its density is 17.29 g cm⁻³. The formation energy is 42 meV/atom.

Unit cell a=7.4813 b=7.4813 c=7.4813 alpha=90.00 beta=90.00 gamma=90.00
Closest atoms and distances in Å follow each position.
Space group F-43m (No. 216)
One atom of each set of equivalent atoms:
In 0.0000 0.0000 0.0000 x4  16 Pt 3.10-3.24
Pt 0.1246 0.1246 0.6246 x16  6 Pt 2.64-2.65
Pt 0.2500 0.2500 0.2500 x4  12 Pt 3.10, 4 In 3.24



No. 6
A plane-wave DFT calculation with PBE was carried out for a relaxed structure of FeS.

## Properties
The uncorrected formation energy comes out at -0.326 eV/atom. Its density is 4.16 g cm⁻³.

Unit cell a=3.4859 b=10.9458 c=5.5142 alpha=90.00 beta=90.00 gamma=90.00
Closest atoms and distances in Å follow each position.
Space group Pmmn (No. 59, origin choice 2)
One atom of each set of equivalent atoms:
Fe 0.2500 0.0862 0.0321 x4  4 S 2.22-2.24
Fe 0.2500 0.7500 0.4646 x2  4 S 2.18-2.25
S 0.2500 0.2500 0.2765 x2  4 Fe 2.24-2.25
S 0.2500 0.5924 0.2239 x4  4 Fe 2.18-2.24



No. 7
A plane-wave DFT calculation with PBE was carried out for a relaxed structure of Nd2CuTe3.

## Properties
The uncorrected formation energy comes out at -1.116 eV/atom. The value obtained for the polymorph energy (0 for the lowest one) is 0.0 kJ/mol of atoms. Its density is 7.04 g cm⁻³.

Unit cell a=13.1215 b=4.3610 c=12.1113 alpha=90.00 beta=90.00 gamma=90.00
Closest atoms and distances in Å follow each position.
Space group Pnma (No. 62)
One atom of each set of equivalent atoms:
Nd 0.0368 0.2500 0.1841 x4  2 Cu 3.10, 6 Te 3.19-3.47
Nd 0.2238 0.2500 0.4743 x4  1 Cu 3.15, 6 Te 3.15-3.33
Cu 0.2011 0.7500 0.2211 x4  3 Te 2.59-2.61
Te 0.0626 0.7500 0.3763 x4  1 Cu 2.61
Te 0.1072 0.2500 0.9324 x4  5 Nd 3.15-3.21
Te 0.1989 0.7500 0.6808 x4  2 Cu 2.59



No. 8
A plane-wave DFT calculation with PBE was carried out for a relaxed structure of LaBe2Pd.

## Properties
The value obtained for the polymorph energy (0 for the lowest one) is 0.0 kJ/mol of atoms. Its density is 6.16 g cm⁻³. The formation energy is -350 meV/atom.

Unit cell a=3.9752 b=3.9752 c=15.5543 alpha=90.00 beta=90.00 gamma=120.00
Closest atoms and distances in Å follow each position.
Space group R-3m (No. 166, hexagonal axes)
One atom of each set of equivalent atoms:
La 0.0000 0.0000 0.0000 x3  8 Be 2.97-3.19
Be 0.0000 0.0000 0.1907 x6  3 Pd 2.33, 3 Be 2.41
Pd 0.0000 0.0000 0.5000 x3  6 Be 2.33